Record 1
Density functional theory data (PBE) for a geometry-optimized SiHg2Pb structure. Values from VASP.

Geometry as Quantum ESPRESSO input:
```
&SYSTEM
  ibrav = 0, nat = 4, ntyp = 3
/
ATOMIC_SPECIES
Si 28.09 Si.upf
Hg 200.59 Hg.upf
Pb 207.20 Pb.upf
ATOMIC_POSITIONS crystal
Si 0.250 0.250 0.250
Hg 0.970 0.970 0.031
Pb 0.750 0.750 0.750
Hg 0.530 0.530 0.469
CELL_PARAMETERS angstrom
6.342 0.091 -0.037
5.427 3.283 -0.037
2.448 0.702 4.805
```

Output
As for the total energy: -8.506 eV per cell. As for the total magnetic moment: 0.0 μB/cell. The space-group type is C2/m (12). The calculation puts the formation energy from raw total energies at 0.307 eV per atom.

Record 2
Density functional theory data (PBE) for a geometry-optimized BaYIn structure. Values from VASP.

Geometry as Quantum ESPRESSO input:
```
&SYSTEM
  ibrav = 0, nat = 12, ntyp = 3
/
ATOMIC_SPECIES
In 114.82 In.upf
Ba 137.33 Ba.upf
Y 88.91 Y.upf
ATOMIC_POSITIONS crystal
In 0.000 0.500 0.000
Ba 0.656 0.250 0.003
Y 0.198 0.750 0.495
Y 0.302 0.250 0.995
Ba 0.844 0.750 0.503
In 0.000 0.000 0.000
Y 0.698 0.750 0.005
Ba 0.344 0.750 0.997
Y 0.802 0.250 0.505
In 0.500 0.000 0.500
In 0.500 0.500 0.500
Ba 0.156 0.250 0.497
CELL_PARAMETERS angstrom
9.524 0.000 0.000
0.000 7.044 0.000
0.000 0.000 5.923
```

Output
As for the total energy: -43.743 eV per cell. As for the total magnetic moment: 0.0 μB/cell. The space-group type is Pnma (62). The value obtained for the formation energy is 0.0632 eV/atom.